1.
An optimized crystal structure of Sr4Cd3Pd2, computed with PBE.

The structure in POSCAR format:
```
Sr4Cd3Pd2
1.0
8.589 -2.212 0.000
8.589 2.212 0.000
-2.685 0.000 7.300
Sr Cd Pd
4 3 2
Direct
0.070 0.070 0.354 Sr
0.271 0.271 0.812 Sr
0.729 0.729 0.188 Sr
0.930 0.930 0.646 Sr
0.400 0.400 0.278 Cd
0.500 0.500 0.000 Cd
0.600 0.600 0.722 Cd
0.102 0.102 0.958 Pd
0.898 0.898 0.042 Pd
```

Summary:
Symmetry: C2/m, No. 12
Spin magnetization in μB per formula unit: 0.00
ΔH_f (0 K) in meV per atom: -429
V in Å³ per cell: 277.4



2.
An optimized crystal structure of ZnP2H6O5, computed with PBE.

The structure in POSCAR format:
```
ZnP2H6O5
1.0
7.653 0.000 0.000
0.000 7.782 0.000
-2.751 0.000 10.123
Zn P H O
4 8 24 20
Direct
0.200 0.041 0.103 Zn
0.200 0.459 0.603 Zn
0.800 0.541 0.397 Zn
0.800 0.959 0.897 Zn
0.036 0.203 0.339 P
0.036 0.297 0.839 P
0.466 0.129 0.688 P
0.466 0.371 0.188 P
0.534 0.629 0.812 P
0.534 0.871 0.312 P
0.964 0.703 0.161 P
0.964 0.797 0.661 P
0.128 0.616 0.166 H
0.128 0.884 0.666 H
0.173 0.096 0.414 H
0.173 0.404 0.914 H
0.174 0.695 0.422 H
0.174 0.805 0.922 H
0.359 0.505 0.115 H
0.359 0.995 0.615 H
0.387 0.664 0.458 H
0.387 0.836 0.958 H
0.403 0.144 0.803 H
0.403 0.356 0.303 H
0.597 0.644 0.697 H
0.597 0.856 0.197 H
0.613 0.164 0.042 H
0.613 0.336 0.542 H
0.641 0.005 0.385 H
0.641 0.495 0.885 H
0.826 0.195 0.078 H
0.826 0.305 0.578 H
0.827 0.596 0.086 H
0.827 0.904 0.586 H
0.872 0.116 0.334 H
0.872 0.384 0.834 H
0.036 0.129 0.917 O
0.036 0.371 0.417 O
0.058 0.219 0.198 O
0.058 0.281 0.698 O
0.280 0.662 0.494 O
0.280 0.838 0.994 O
0.336 0.578 0.778 O
0.336 0.922 0.278 O
0.421 0.204 0.107 O
0.421 0.296 0.607 O
0.579 0.704 0.393 O
0.579 0.796 0.893 O
0.664 0.078 0.722 O
0.664 0.422 0.222 O
0.720 0.162 0.006 O
0.720 0.338 0.506 O
0.942 0.719 0.302 O
0.942 0.781 0.802 O
0.964 0.629 0.583 O
0.964 0.871 0.083 O
```

Summary:
E_tot in eV/atom: -5.16
Symmetry: P2_1/c, No. 14
Spin magnetization in μB per formula unit: 0.00
V in Å³ per cell: 602.9



3.
An optimized crystal structure of BaCu3C, computed with PBE.

The structure in POSCAR format:
```
BaCu3C
1.0
5.795 0.000 0.000
0.000 5.795 0.000
0.000 0.000 5.795
Ba Cu C
1 3 1
Direct
0.000 0.000 0.000 Ba
0.000 0.000 0.500 Cu
0.000 0.500 0.000 Cu
0.500 0.000 0.000 Cu
0.500 0.500 0.500 C
```

Summary:
Symmetry: Pm-3m, No. 221
Spin magnetization in μB per formula unit: 1.03
ΔH_f (0 K) in meV per atom: 2687
Energy above the most stable polymorph in this dataset in meV per atom: 2097.8
V in Å³ per cell: 194.6



4.
An optimized crystal structure of TmPa2TaN6, computed with PBE.

The structure in POSCAR format:
```
TmPa2TaN6
1.0
2.885 1.666 4.913
-2.885 1.666 4.913
0.000 -3.331 4.913
Tm Pa Ta N
1 2 1 6
Direct
0.000 0.000 0.000 Tm
0.278 0.278 0.278 Pa
0.777 0.777 0.777 Pa
0.494 0.494 0.494 Ta
0.107 0.663 0.390 N
0.206 0.599 0.843 N
0.390 0.107 0.663 N
0.599 0.843 0.206 N
0.663 0.390 0.107 N
0.843 0.206 0.599 N
```

Summary:
Symmetry: R3, No. 146
Formation energy (no corrections) in eV/atom: -1.51
Spin magnetization in μB per formula unit: 0.00
V in Å³ per cell: 141.6



5.
An optimized crystal structure of KAs2PbSe, computed with PBE.

The structure in POSCAR format:
```
KAs2PbSe
1.0
5.419 0.000 0.000
0.000 5.419 0.000
0.000 0.000 5.585
K As Pb Se
1 2 1 1
Direct
0.000 0.000 0.000 K
0.000 0.500 0.000 As
0.500 0.000 0.000 As
0.500 0.500 0.500 Pb
0.000 0.000 0.500 Se
```

Summary:
Symmetry: P4/mmm, No. 123
Formation energy (no corrections) in eV/atom: 1.04
Spin magnetization in μB per formula unit: 0.01
Energy above the most stable polymorph in this dataset in meV per atom: 709.0
V in Å³ per cell: 164.0



6.
An optimized crystal structure of Er7Ni2Ru2, computed with PBE.

The structure in POSCAR format:
```
Er7Ni2Ru2
1.0
4.032 -5.127 0.000
4.032 5.127 0.000
0.000 0.000 6.749
Er Ni Ru
7 2 2
Direct
0.000 0.000 0.000 Er
0.000 0.500 0.262 Er
0.000 0.500 0.738 Er
0.500 0.000 0.262 Er
0.500 0.000 0.738 Er
0.500 0.500 0.256 Er
0.500 0.500 0.744 Er
0.217 0.217 0.500 Ni
0.783 0.783 0.500 Ni
0.281 0.719 0.000 Ru
0.719 0.281 0.000 Ru
```

Summary:
Symmetry: Cmmm, No. 65
Spin magnetization in μB per formula unit: 0.00
ΔH_f (0 K) in meV per atom: -140
V in Å³ per cell: 279.0